## BaTaPt (GGA-PBE)

Data for an optimized crystal structure of BaTaPt.

```
data_BaTaPt
_chemical_formula_sum 'Ba1 Ta1 Pt1'
_symmetry_space_group_name_H-M 'P 1'
_symmetry_Int_Tables_number 1
_cell_length_a 4.378
_cell_length_b 4.378
_cell_length_c 5.375
_cell_angle_alpha 90.00
_cell_angle_beta 90.00
_cell_angle_gamma 120.00
loop_
_symmetry_equiv_pos_as_xyz
'x,y,z'
loop_
_atom_site_label
_atom_site_type_symbol
_atom_site_fract_x
_atom_site_fract_y
_atom_site_fract_z
Ta1 Ta 0.333 0.667 0.486
Ba1 Ba 0.000 0.000 0.995
Pt1 Pt 0.667 0.333 0.519
```

Summary:
Density of states at the Fermi level = 1.018 states/eV/atom
Electronic total energy = -6.63 eV per atom
Crystal system = trigonal
ρ = 9.554 Mg/m³
Energy above the lowest structure with this stoichiometry = 11 meV/atom
Calculated formation energy = -0.023 eV/atom



## TbInAg (GGA-PBE)

Data for an optimized crystal structure of TbInAg.

```
data_TbInAg
_chemical_formula_sum 'Tb1 In1 Ag1'
_symmetry_space_group_name_H-M 'P 1'
_symmetry_Int_Tables_number 1
_cell_length_a 4.816
_cell_length_b 4.816
_cell_length_c 4.816
_cell_angle_alpha 60.00
_cell_angle_beta 60.00
_cell_angle_gamma 60.00
loop_
_symmetry_equiv_pos_as_xyz
'x,y,z'
loop_
_atom_site_label
_atom_site_type_symbol
_atom_site_fract_x
_atom_site_fract_y
_atom_site_fract_z
In1 In 0.500 0.500 0.500
Tb1 Tb 0.000 0.000 0.000
Ag1 Ag 0.250 0.250 0.250
```

Summary:
Density of states at the Fermi level = 1.342 states/eV/atom
Electronic total energy = -3.70 eV per atom
Crystal system = cubic
ρ = 8.024 Mg/m³
Calculated formation energy = -0.289 eV/atom